{
  "formula": "LiYAs2",
  "functional": "PBE",
  "state": "optimized geometry",
  "formation_enthalpy_0k_ev_per_atom": -0.65,
  "total_energy_ev_per_atom": -5.07,
  "lattice_angstrom": [[3.3064, 0.0000, 0.0000], [0.0000, 3.3064, 0.0000], [0.0000, 0.0000, 7.6328]],
  "species": ["As", "As", "Y", "Li"],
  "frac_coords": [[0.0000, 0.0000, 0.0085], [0.0000, 0.0000, 0.4915], [0.5000, 0.5000, 0.7500], [0.5000, 0.5000, 0.2500]]
}